Entry one
# CeThGa4

A geometry-optimized CeThGa4 structure (PBE, the Alexandria database). Values from VASP.

- M_tot: 0.99 μB/f.u.

The structure in Quantum ESPRESSO input format:
```
&SYSTEM
  ibrav = 0, nat = 6, ntyp = 3
/
ATOMIC_SPECIES
Ga 69.72 Ga.upf
Th 232.04 Th.upf
Ce 140.12 Ce.upf
CELL_PARAMETERS angstrom
-4.2024 1.9078 -3.2129
-5.2740 -1.6920 0.9724
-3.7592 3.5979 2.1322
ATOMIC_POSITIONS crystal
Ga 0.6249 0.1252 0.6249
Th 0.0000 0.0000 0.0000
Ga 0.1252 0.6249 0.6249
Ga 0.6249 0.6249 0.1252
Ce 0.2500 0.2500 0.2500
Ga 0.6249 0.6249 0.6249
```


Entry two
# CeThGa4

A geometry-optimized CeThGa4 structure (PBE, the Alexandria database). Values from VASP.

- M_tot: 0.66 μB/f.u.

The structure in Quantum ESPRESSO input format:
```
&SYSTEM
  ibrav = 0, nat = 6, ntyp = 3
/
ATOMIC_SPECIES
Ga 69.72 Ga.upf
Ce 140.12 Ce.upf
Th 232.04 Th.upf
CELL_PARAMETERS angstrom
-2.4484 3.4382 0.5730
-3.4037 -2.2075 -1.2982
1.6219 -2.7067 7.3382
ATOMIC_POSITIONS crystal
Ga 0.8327 0.3327 0.6654
Ga 0.6673 0.1673 0.3346
Ga 0.5834 0.5834 0.1668
Ce 0.2500 0.7500 0.5000
Th 0.0000 0.0000 0.0000
Ga 0.4166 0.4166 0.8332
```


Entry three
# CeThGa4

A geometry-optimized CeThGa4 structure (PBE, the Alexandria database). Values from VASP.

- M_tot: 0.62 μB/f.u.

The structure in Quantum ESPRESSO input format:
```
&SYSTEM
  ibrav = 0, nat = 6, ntyp = 3
/
ATOMIC_SPECIES
Ga 69.72 Ga.upf
Th 232.04 Th.upf
Ce 140.12 Ce.upf
CELL_PARAMETERS angstrom
-4.1101 1.1001 0.3824
1.1013 -3.3340 -2.4333
-0.7496 -5.1226 6.6796
ATOMIC_POSITIONS crystal
Ga 0.3333 0.6667 0.2465
Ga 0.6667 0.3333 0.7535
Th 0.0000 0.0000 0.5000
Ce 0.0000 0.0000 0.0000
Ga 0.6667 0.3333 0.2465
Ga 0.3333 0.6667 0.7535
```


Least stable: entry one


Entry one
# Ce2ThGa

A geometry-optimized Ce2ThGa structure (PBE, the Alexandria database). Values from VASP.

- M_tot: 1.86 μB/f.u.

The structure in Quantum ESPRESSO input format:
```
&SYSTEM
  ibrav = 0, nat = 4, ntyp = 3
/
ATOMIC_SPECIES
Th 232.04 Th.upf
Ga 69.72 Ga.upf
Ce 140.12 Ce.upf
CELL_PARAMETERS angstrom
3.3668 0.0000 0.0000
1.6834 2.9157 0.0000
1.6834 0.9719 11.8012
ATOMIC_POSITIONS crystal
Th 0.5000 0.5000 0.5000
Ga 0.0000 0.0000 0.0000
Ce 0.0870 0.0870 0.7389
Ce 0.9130 0.9130 0.2611
```


Entry two
# Ce2ThGa

A geometry-optimized Ce2ThGa structure (PBE, the Alexandria database). Values from VASP.

- M_tot: 1.25 μB/f.u.

The structure in Quantum ESPRESSO input format:
```
&SYSTEM
  ibrav = 0, nat = 4, ntyp = 3
/
ATOMIC_SPECIES
Th 232.04 Th.upf
Ga 69.72 Ga.upf
Ce 140.12 Ce.upf
CELL_PARAMETERS angstrom
4.8769 0.0000 0.0000
0.0000 4.6220 0.0000
0.0000 0.0000 4.6220
ATOMIC_POSITIONS crystal
Th 0.5000 0.5000 0.5000
Ga 0.5000 0.0000 0.0000
Ce 0.0000 0.5000 0.0000
Ce 0.0000 0.0000 0.5000
```


Least stable: entry one


Entry one
# Ce2ThGa

A geometry-optimized Ce2ThGa structure (PBE, the Alexandria database). Values from VASP.

- M_tot: 0.88 μB/f.u.

The structure in Quantum ESPRESSO input format:
```
&SYSTEM
  ibrav = 0, nat = 4, ntyp = 3
/
ATOMIC_SPECIES
Ce 140.12 Ce.upf
Th 232.04 Th.upf
Ga 69.72 Ga.upf
CELL_PARAMETERS angstrom
-0.4674 3.8442 2.4364
-3.5559 1.2519 -2.6575
-1.0819 -4.8564 3.1592
ATOMIC_POSITIONS crystal
Ce 0.2518 0.2530 0.5037
Th 0.5000 0.0000 0.0000
Ga 0.0000 0.5000 0.0000
Ce 0.7482 0.7470 0.4963
```


Entry two
# Ce2ThGa

A geometry-optimized Ce2ThGa structure (PBE, the Alexandria database). Values from VASP.

- M_tot: 0.79 μB/f.u.

The structure in Quantum ESPRESSO input format:
```
&SYSTEM
  ibrav = 0, nat = 4, ntyp = 3
/
ATOMIC_SPECIES
Ga 69.72 Ga.upf
Ce 140.12 Ce.upf
Th 232.04 Th.upf
CELL_PARAMETERS angstrom
5.3033 0.0000 0.0000
2.6517 4.5928 0.0000
2.6517 1.5309 4.3302
ATOMIC_POSITIONS crystal
Ga 0.0000 0.0000 0.0000
Ce 0.2500 0.2500 0.2500
Ce 0.7500 0.7500 0.7500
Th 0.5000 0.5000 0.5000
```


Entry three
# Ce2ThGa

A geometry-optimized Ce2ThGa structure (PBE, the Alexandria database). Values from VASP.

- M_tot: 0.01 μB/f.u.

The structure in Quantum ESPRESSO input format:
```
&SYSTEM
  ibrav = 0, nat = 4, ntyp = 3
/
ATOMIC_SPECIES
Th 232.04 Th.upf
Ce 140.12 Ce.upf
Ga 69.72 Ga.upf
CELL_PARAMETERS angstrom
3.4576 -0.0006 -0.0015
1.7283 2.9947 -0.0015
1.7241 0.9954 10.5380
ATOMIC_POSITIONS crystal
Th 0.5001 0.5001 0.4999
Ce 0.2584 0.2584 0.2250
Ga 0.6665 0.6665 0.0004
Ce 0.0750 0.0750 0.7747
```


Least stable: entry two